{"formula": "VF5", "functional": "PBE with a Hubbard U", "state": "relaxed", "final_energy_ev_per_atom": -5.223, "m_tot_mub_per_fu": 0.0, "dos_ef_per_ev_cell": 0.00, "lattice": [[5.5191, -0.0407, 0.3401], [3.2588, 4.4545, 0.3401], [2.7004, 1.3579, 7.7883]], "species": ["V", "V", "F", "F", "F", "F", "F", "F", "F", "F", "F", "F"], "frac_coords": [[0.0415, 0.9624, 0.4584], [0.9624, 0.0415, 0.9584], [0.9722, 0.6868, 0.6298], [0.6433, 0.1865, 0.4681], [0.3684, 0.8080, 0.5396], [0.6868, 0.9722, 0.1298], [0.1863, 0.8188, 0.2688], [0.0373, 0.3099, 0.3804], [0.1865, 0.6433, 0.9681], [0.8080, 0.3684, 0.0396], [0.8188, 0.1863, 0.7688], [0.3099, 0.0373, 0.8804]]}